Density functional theory data (PBE) for SiAs2Cl after structural relaxation.

Geometry as CIF:
```
data_SiAs2Cl
_space_group_name_H-M_alt 'P 4/m m m'
_space_group_IT_number 123
_space_group_name_Hall '-P 4 2'
_cell_length_a 3.7622
_cell_length_b 3.7622
_cell_length_c 5.9189
_cell_angle_alpha 90.00
_cell_angle_beta 90.00
_cell_angle_gamma 90.00
loop_
_atom_site_label
_atom_site_type_symbol
_atom_site_fract_x
_atom_site_fract_y
_atom_site_fract_z
Si1 Si 0.0000 0.0000 0.0000
As1 As 0.0000 0.5000 0.5000
Cl1 Cl 0.5000 0.5000 0.0000
```

## Properties
The calculation puts the total energy at -14.8 eV/f.u.